(1)
A plane-wave DFT calculation with PBE was carried out for a geometry-optimized GaTeI2F structure.

Cell and atoms, written as CIF:
```
data_GaTeI2F
_cell_length_a 5.549
_cell_length_b 5.549
_cell_length_c 5.453
_cell_angle_alpha 90.00
_cell_angle_beta 90.00
_cell_angle_gamma 90.00
_space_group_name_H-M_alt 'P 4/m m m'
_space_group_IT_number 123
_space_group_name_Hall '-P 4 2'
loop_
_atom_site_label
_atom_site_fract_x
_atom_site_fract_y
_atom_site_fract_z
_atom_site_occupancy
Ga1 0.000 0.000 0.000 1
Te1 0.000 0.000 0.500 1
I1 0.000 0.500 0.000 1
F1 0.500 0.500 0.500 1
```

Results
Its density of states at the Fermi level is 8.50 states/eV/cell. As for the magnetization: 1.35 μB per cell. The formation energy (no corrections) is 0.0715 eV per atom. For the calculated total energy, the calculation gives -10.78 eV for the cell shown. The theoretical density comes out at 4.65 g/cm³. The energy above the most stable polymorph in this dataset is 0.305 eV per atom.

---

(2)
A plane-wave DFT calculation with PBE was carried out for a geometry-optimized GaTe2IF structure.

Cell and atoms, written as CIF:
```
data_GaTe2IF
_cell_length_a 4.711
_cell_length_b 4.711
_cell_length_c 7.131
_cell_angle_alpha 90.00
_cell_angle_beta 90.00
_cell_angle_gamma 90.00
_space_group_name_H-M_alt 'P 4/m m m'
_space_group_IT_number 123
_space_group_name_Hall '-P 4 2'
loop_
_atom_site_label
_atom_site_fract_x
_atom_site_fract_y
_atom_site_fract_z
_atom_site_occupancy
Ga1 0.000 0.000 0.000 1
Te1 0.000 0.500 0.500 1
I1 0.500 0.500 0.000 1
F1 0.500 0.500 0.500 1
```

Results
Its density of states at the Fermi level is 4.80 states/eV/cell. As for the magnetization: 0.00 μB per cell. The formation energy (no corrections) is -0.1407 eV per atom. For the calculated total energy, the calculation gives -13.44 eV for the cell shown. The theoretical density comes out at 4.94 g/cm³. The energy above the most stable polymorph in this dataset is 0.000 eV per atom.

---

(3)
A plane-wave DFT calculation with PBE was carried out for a geometry-optimized GaTe2IF structure.

Cell and atoms, written as CIF:
```
data_GaTe2IF
_cell_length_a 5.367
_cell_length_b 5.367
_cell_length_c 5.507
_cell_angle_alpha 90.00
_cell_angle_beta 90.00
_cell_angle_gamma 90.00
_space_group_name_H-M_alt 'P 4/m m m'
_space_group_IT_number 123
_space_group_name_Hall '-P 4 2'
loop_
_atom_site_label
_atom_site_fract_x
_atom_site_fract_y
_atom_site_fract_z
_atom_site_occupancy
Ga1 0.000 0.000 0.000 1
Te1 0.000 0.500 0.000 1
I1 0.000 0.000 0.500 1
F1 0.500 0.500 0.500 1
```

Results
Its density of states at the Fermi level is 7.23 states/eV/cell. As for the magnetization: 0.00 μB per cell. The formation energy (no corrections) is 0.1810 eV per atom. For the calculated total energy, the calculation gives -11.83 eV for the cell shown. The theoretical density comes out at 4.93 g/cm³. The energy above the most stable polymorph in this dataset is 0.322 eV per atom.

---

(4)
A plane-wave DFT calculation with PBE was carried out for a geometry-optimized GaTeI2F structure.

Cell and atoms, written as CIF:
```
data_GaTeI2F
_cell_length_a 6.127
_cell_length_b 6.127
_cell_length_c 4.243
_cell_angle_alpha 90.00
_cell_angle_beta 90.00
_cell_angle_gamma 90.00
_space_group_name_H-M_alt 'P 4/m m m'
_space_group_IT_number 123
_space_group_name_Hall '-P 4 2'
loop_
_atom_site_label
_atom_site_fract_x
_atom_site_fract_y
_atom_site_fract_z
_atom_site_occupancy
Ga1 0.000 0.000 0.000 1
Te1 0.500 0.500 0.000 1
I1 0.000 0.500 0.500 1
F1 0.500 0.500 0.500 1
```

Results
Its density of states at the Fermi level is 3.86 states/eV/cell. As for the magnetization: 0.43 μB per cell. The formation energy (no corrections) is -0.2333 eV per atom. For the calculated total energy, the calculation gives -12.31 eV for the cell shown. The theoretical density comes out at 4.90 g/cm³. The energy above the most stable polymorph in this dataset is 0.000 eV per atom.

---

(5)
A plane-wave DFT calculation with PBE was carried out for a geometry-optimized TlGaI2F structure.

Cell and atoms, written as CIF:
```
data_TlGaI2F
_cell_length_a 5.953
_cell_length_b 5.953
_cell_length_c 4.235
_cell_angle_alpha 90.00
_cell_angle_beta 90.00
_cell_angle_gamma 90.00
_space_group_name_H-M_alt 'P 4/m m m'
_space_group_IT_number 123
_space_group_name_Hall '-P 4 2'
loop_
_atom_site_label
_atom_site_fract_x
_atom_site_fract_y
_atom_site_fract_z
_atom_site_occupancy
Tl1 0.000 0.000 0.000 1
Ga1 0.500 0.500 0.500 1
I1 0.000 0.500 0.500 1
F1 0.500 0.500 0.000 1
```

Results
Its density of states at the Fermi level is 1.51 states/eV/cell. As for the magnetization: 0.00 μB per cell. The formation energy (no corrections) is -0.9530 eV per atom. For the calculated total energy, the calculation gives -15.13 eV for the cell shown. The theoretical density comes out at 6.05 g/cm³.

---

(6)
A plane-wave DFT calculation with PBE was carried out for a geometry-optimized TlGaIF2 structure.

Cell and atoms, written as CIF:
```
data_TlGaIF2
_cell_length_a 4.350
_cell_length_b 4.350
_cell_length_c 6.264
_cell_angle_alpha 90.00
_cell_angle_beta 90.00
_cell_angle_gamma 90.00
_space_group_name_H-M_alt 'P 4/m m m'
_space_group_IT_number 123
_space_group_name_Hall '-P 4 2'
loop_
_atom_site_label
_atom_site_fract_x
_atom_site_fract_y
_atom_site_fract_z
_atom_site_occupancy
Tl1 0.000 0.000 0.000 1
Ga1 0.000 0.000 0.500 1
I1 0.500 0.500 0.000 1
F1 0.000 0.500 0.500 1
```

Results
Its density of states at the Fermi level is 1.83 states/eV/cell. As for the magnetization: 0.00 μB per cell. The formation energy (no corrections) is -1.1805 eV per atom. For the calculated total energy, the calculation gives -16.59 eV for the cell shown. The theoretical density comes out at 6.15 g/cm³.

---

(7)
A plane-wave DFT calculation with PBE was carried out for a geometry-optimized YGa2IF structure.

Cell and atoms, written as CIF:
```
data_YGa2IF
_cell_length_a 6.001
_cell_length_b 6.001
_cell_length_c 4.326
_cell_angle_alpha 90.00
_cell_angle_beta 90.00
_cell_angle_gamma 90.00
_space_group_name_H-M_alt 'P 4/m m m'
_space_group_IT_number 123
_space_group_name_Hall '-P 4 2'
loop_
_atom_site_label
_atom_site_fract_x
_atom_site_fract_y
_atom_site_fract_z
_atom_site_occupancy
Y1 0.000 0.000 0.000 1
Ga1 0.000 0.500 0.000 1
I1 0.500 0.500 0.500 1
F1 0.000 0.000 0.500 1
```

Results
Its density of states at the Fermi level is 4.69 states/eV/cell. As for the magnetization: 0.00 μB per cell. The formation energy (no corrections) is -0.8738 eV per atom. For the calculated total energy, the calculation gives -20.31 eV for the cell shown. The theoretical density comes out at 3.99 g/cm³.

---

(8)
A plane-wave DFT calculation with PBE was carried out for a geometry-optimized ZrGaI2F structure.

Cell and atoms, written as CIF:
```
data_ZrGaI2F
_cell_length_a 5.849
_cell_length_b 5.849
_cell_length_c 3.981
_cell_angle_alpha 90.00
_cell_angle_beta 90.00
_cell_angle_gamma 90.00
_space_group_name_H-M_alt 'P 4/m m m'
_space_group_IT_number 123
_space_group_name_Hall '-P 4 2'
loop_
_atom_site_label
_atom_site_fract_x
_atom_site_fract_y
_atom_site_fract_z
_atom_site_occupancy
Zr1 0.000 0.000 0.000 1
Ga1 0.500 0.500 0.000 1
I1 0.000 0.500 0.500 1
F1 0.500 0.500 0.500 1
```

Results
Its density of states at the Fermi level is 4.98 states/eV/cell. As for the magnetization: 1.94 μB per cell. The formation energy (no corrections) is -0.2028 eV per atom. For the calculated total energy, the calculation gives -17.56 eV for the cell shown. The theoretical density comes out at 5.29 g/cm³. The energy above the most stable polymorph in this dataset is 0.497 eV per atom.